1.
K3Ag3Br8, relaxed, DFT PBE; density of states at the Fermi level = 1.19 states/eV per atom; space-group type = R-3m, No. 166; uncorrected formation energy = -810 meV/atom
1.0
4.247 2.452 7.747
-4.247 2.452 7.747
0.000 -4.904 7.747
K Ag Br
3 3 8
direct
0.000 0.500 0.500 K
0.500 0.000 0.500 K
0.500 0.500 0.000 K
0.135 0.135 0.135 Ag
0.500 0.500 0.500 Ag
0.865 0.865 0.865 Ag
0.249 0.249 0.249 Br
0.250 0.726 0.726 Br
0.274 0.274 0.750 Br
0.274 0.750 0.274 Br
0.726 0.250 0.726 Br
0.726 0.726 0.250 Br
0.750 0.274 0.274 Br
0.751 0.751 0.751 Br


2.
AgPdBr6, relaxed, DFT PBE; ΔE to the lowest computed polymorph = 0 meV per atom; density of states at the Fermi level = 0.88 states/eV per atom; space-group type = C2/m, No. 12; uncorrected formation energy = -155 meV/atom
1.0
3.295 -6.135 0.000
3.295 6.135 0.000
-1.170 0.000 6.680
Ag Pd Br
1 1 6
direct
0.000 0.000 0.000 Ag
0.000 0.000 0.500 Pd
0.021 0.308 0.740 Br
0.302 0.302 0.319 Br
0.308 0.021 0.740 Br
0.692 0.979 0.260 Br
0.698 0.698 0.681 Br
0.979 0.692 0.260 Br


3.
CdInFe2, relaxed, DFT PBE; density of states at the Fermi level = 0.46 states/eV per atom; formation energy = 0.2477 eV per atom; space-group type = Cm, No. 8
1.0
5.162 -1.563 0.000
5.162 1.563 0.000
-1.966 0.000 4.115
Cd In Fe
1 1 2
direct
0.000 0.000 0.000 Cd
0.782 0.782 0.285 In
0.237 0.237 0.740 Fe
0.547 0.547 0.547 Fe


4.
Pr2TlTcO8, relaxed, DFT PBE; space-group type = P-1, No. 2; uncorrected formation energy = -1955 meV/atom
1.0
4.783 0.000 0.000
-0.387 4.974 0.000
-0.345 -0.357 7.501
Pr Tl Tc O
2 1 1 8
direct
0.073 0.042 0.263 Pr
0.927 0.958 0.737 Pr
0.500 0.500 0.000 Tl
0.500 0.500 0.500 Tc
0.202 0.196 0.980 O
0.205 0.246 0.547 O
0.280 0.623 0.303 O
0.373 0.752 0.673 O
0.627 0.248 0.327 O
0.720 0.377 0.697 O
0.795 0.754 0.453 O
0.798 0.804 0.020 O